First-principles (PBE with a Hubbard U) data for crystalline Li8Fe9CoO20 at its relaxed geometry, as listed in Alexandria.

Unit cell a=5.822 b=2.866 c=20.800 alpha=90.00 beta=96.46 gamma=90.00
Space group P2/m (No. 10)
Symmetry-distinct sites (fractional):
Li (0.104, 0.000, 0.201) [2 per cell]
Li (0.106, 0.500, 0.701) [2 per cell]
Li (0.323, 0.000, 0.594) [2 per cell]
Li (0.323, 0.500, 0.093) [2 per cell]
Fe (0.000, 0.500, 0.500) [1 per cell]
Fe (0.200, 0.000, 0.400) [2 per cell]
Fe (0.200, 0.500, 0.901) [2 per cell]
Fe (0.397, 0.500, 0.299) [2 per cell]
Fe (0.398, 0.000, 0.800) [2 per cell]
Co (0.000, 0.000, 0.000) [1 per cell]
O (0.030, 0.000, 0.092) [2 per cell]
O (0.031, 0.500, 0.594) [2 per cell]
O (0.166, 0.000, 0.304) [2 per cell]
O (0.167, 0.500, 0.805) [2 per cell]
O (0.211, 0.500, 0.996) [2 per cell]
O (0.216, 0.000, 0.496) [2 per cell]
O (0.372, 0.500, 0.204) [2 per cell]
O (0.374, 0.000, 0.704) [2 per cell]
O (0.421, 0.000, 0.894) [2 per cell]
O (0.422, 0.500, 0.393) [2 per cell]

## Properties
**E**: -219.476 eV/cell